# 1
The following is a DFT calculation (PBE) of a geometry-optimized Sm2YTm structure.

## Properties
V = 32.42 A^3/atom
calculated total energy = -0.373 Ry per atom
ΔH_f (0 K) = 0.0229 eV/atom

Cell: 5.079 5.079 5.027 Å, 90.00 90.00 90.00°
Atoms (fractional coordinates):
Sm  0.000  0.500  0.000
Sm  0.500  0.000  0.000
Y  0.000  0.000  0.500
Tm  0.500  0.500  0.500

---

# 2
The following is a DFT calculation (PBE) of a geometry-optimized Sm8Y4Tm3 structure.

## Properties
V = 33.44 A^3/atom
calculated total energy = -0.352 Ry per atom
ΔH_f (0 K) = 0.3513 eV/atom

Cell: 9.120 9.120 6.889 Å, 110.67 110.67 83.03°
Atoms (fractional coordinates):
Sm  0.201  0.201  0.173
Sm  0.203  0.797  0.000
Sm  0.251  0.749  0.500
Sm  0.254  0.254  0.707
Sm  0.746  0.746  0.293
Sm  0.749  0.251  0.500
Sm  0.797  0.203  0.000
Sm  0.799  0.799  0.827
Y  0.000  0.500  0.000
Y  0.500  0.000  0.000
Y  0.500  0.500  0.000
Y  0.500  0.500  0.500
Tm  0.000  0.000  0.500
Tm  0.000  0.500  0.500
Tm  0.500  0.000  0.500

---

# 3
The following is a DFT calculation (PBE) of a geometry-optimized Sm6YTm3 structure.

## Properties
V = 32.96 A^3/atom
calculated total energy = -0.345 Ry per atom
ΔH_f (0 K) = 0.1283 eV/atom

Cell: 11.655 11.655 6.396 Å, 90.00 90.00 130.65°
Atoms (fractional coordinates):
Sm  0.015  0.985  0.500
Sm  0.106  0.545  0.013
Sm  0.261  0.379  0.262
Sm  0.301  0.699  0.483
Sm  0.379  0.261  0.762
Sm  0.455  0.894  0.013
Sm  0.545  0.106  0.513
Sm  0.621  0.739  0.262
Sm  0.699  0.301  0.983
Sm  0.739  0.621  0.762
Sm  0.894  0.455  0.513
Sm  0.985  0.015  0.000
Y  0.159  0.841  0.702
Y  0.841  0.159  0.202
Tm  0.043  0.294  0.680
Tm  0.294  0.043  0.180
Tm  0.419  0.581  0.783
Tm  0.581  0.419  0.283
Tm  0.706  0.957  0.680
Tm  0.957  0.706  0.180

---

# 4
The following is a DFT calculation (PBE) of a geometry-optimized Sm3YTm structure.

## Properties
V = 33.66 A^3/atom
calculated total energy = -0.359 Ry per atom
ΔH_f (0 K) = 0.1291 eV/atom

Cell: 5.798 7.120 8.655 Å, 90.00 109.58 90.00°
Atoms (fractional coordinates):
Sm  0.118  0.250  0.233
Sm  0.310  0.000  0.621
Sm  0.310  0.500  0.621
Sm  0.690  0.000  0.379
Sm  0.690  0.500  0.379
Sm  0.882  0.750  0.767
Y  0.114  0.750  0.229
Y  0.886  0.250  0.771
Tm  0.497  0.750  0.996
Tm  0.503  0.250  0.004

---

# 5
The following is a DFT calculation (PBE) of a geometry-optimized Sm2YTm3 structure.

## Properties
V = 32.34 A^3/atom
calculated total energy = -0.350 Ry per atom
ΔH_f (0 K) = 0.1250 eV/atom

Cell: 11.679 11.679 10.161 Å, 108.18 108.18 17.16°
Atoms (fractional coordinates):
Sm  0.068  0.068  0.136
Sm  0.309  0.309  0.628
Sm  0.691  0.691  0.372
Sm  0.932  0.932  0.864
Y  0.312  0.312  0.963
Y  0.688  0.688  0.037
Tm  0.070  0.070  0.762
Tm  0.306  0.306  0.286
Tm  0.441  0.441  0.556
Tm  0.559  0.559  0.444
Tm  0.694  0.694  0.714
Tm  0.930  0.930  0.238

---

# 6
The following is a DFT calculation (PBE) of a geometry-optimized Sm7YTm3 structure.

## Properties
V = 33.69 A^3/atom
calculated total energy = -0.336 Ry per atom
ΔH_f (0 K) = 0.2408 eV/atom

Cell: 8.484 8.484 5.835 Å, 110.07 110.07 83.09°
Atoms (fractional coordinates):
Sm  0.000  0.000  0.000
Sm  0.097  0.514  0.306
Sm  0.293  0.293  0.794
Sm  0.486  0.903  0.694
Sm  0.514  0.097  0.306
Sm  0.707  0.707  0.206
Sm  0.903  0.486  0.694
Y  0.000  0.000  0.500
Tm  0.296  0.704  0.000
Tm  0.500  0.500  0.500
Tm  0.704  0.296  0.000